This record from Alexandria via LeMat-Bulk describes a geometry-optimized SrMnN2O structure. The functional is PBE+U.

abc: 4.791 4.791 4.502
angles: 90.00 90.00 90.00
Space group P4/mmm (No. 123)
Asymmetric unit:
Sr  0.000  0.000  0.000 (multiplicity 1)
Mn  0.500  0.500  0.500 (multiplicity 1)
N  0.000  0.500  0.000 (multiplicity 2)
O  0.000  0.000  0.500 (multiplicity 1)

- total energy (eV/atom) = -4.8311
- DOS(E_F) (states/eV per cell) = 4.50